Density functional theory data (GGA-PBE) for a relaxed LiPdPbAu crystal.

```
data_LiPdPbAu
_cell_length_a 6.636
_cell_length_b 6.636
_cell_length_c 6.636
_cell_angle_alpha 90.00
_cell_angle_beta 90.00
_cell_angle_gamma 90.00
_symmetry_space_group_name_H-M 'F -4 3 m'
_symmetry_Int_Tables_number 216
_symmetry_space_group_name_Hall 'F -4 2 3'
loop_
_atom_site_label
_atom_site_type_symbol
_atom_site_fract_x
_atom_site_fract_y
_atom_site_fract_z
Li1 Li 0.000 0.000 0.000
Pd1 Pd 0.000 0.000 0.500
Pb1 Pb 0.250 0.250 0.250
Au1 Au 0.250 0.250 0.750
```

Computed properties:
electronic total energy = -61.9 eV for the cell shown
energy relative to the elements = -33 kJ/mol of atoms
DOS(E_F) = 6.418 states/eV/cell

---

Density functional theory data (GGA-PBE) for a relaxed LiPmPbAu crystal.

```
data_LiPmPbAu
_cell_length_a 7.246
_cell_length_b 7.246
_cell_length_c 7.246
_cell_angle_alpha 90.00
_cell_angle_beta 90.00
_cell_angle_gamma 90.00
_symmetry_space_group_name_H-M 'F -4 3 m'
_symmetry_Int_Tables_number 216
_symmetry_space_group_name_Hall 'F -4 2 3'
loop_
_atom_site_label
_atom_site_type_symbol
_atom_site_fract_x
_atom_site_fract_y
_atom_site_fract_z
Li1 Li 0.000 0.000 0.000
Pm1 Pm 0.000 0.000 0.500
Pb1 Pb 0.250 0.250 0.250
Au1 Au 0.250 0.250 0.750
```

Computed properties:
electronic total energy = -63.2 eV for the cell shown
energy relative to the elements = -52 kJ/mol of atoms
DOS(E_F) = 9.931 states/eV/cell

---

Density functional theory data (GGA-PBE) for a relaxed LiPrPbAu crystal.

```
data_LiPrPbAu
_cell_length_a 7.326
_cell_length_b 7.326
_cell_length_c 7.326
_cell_angle_alpha 90.00
_cell_angle_beta 90.00
_cell_angle_gamma 90.00
_symmetry_space_group_name_H-M 'F -4 3 m'
_symmetry_Int_Tables_number 216
_symmetry_space_group_name_Hall 'F -4 2 3'
loop_
_atom_site_label
_atom_site_type_symbol
_atom_site_fract_x
_atom_site_fract_y
_atom_site_fract_z
Li1 Li 0.000 0.000 0.000
Pr1 Pr 0.000 0.000 0.500
Pb1 Pb 0.250 0.250 0.250
Au1 Au 0.250 0.250 0.750
```

Computed properties:
electronic total energy = -63.1 eV for the cell shown
energy relative to the elements = -51 kJ/mol of atoms
DOS(E_F) = 9.469 states/eV/cell

---

Density functional theory data (GGA-PBE) for a relaxed LiPtPbAu crystal.

```
data_LiPtPbAu
_cell_length_a 6.653
_cell_length_b 6.653
_cell_length_c 6.653
_cell_angle_alpha 90.00
_cell_angle_beta 90.00
_cell_angle_gamma 90.00
_symmetry_space_group_name_H-M 'F -4 3 m'
_symmetry_Int_Tables_number 216
_symmetry_space_group_name_Hall 'F -4 2 3'
loop_
_atom_site_label
_atom_site_type_symbol
_atom_site_fract_x
_atom_site_fract_y
_atom_site_fract_z
Li1 Li 0.000 0.000 0.000
Pt1 Pt 0.000 0.000 0.500
Pb1 Pb 0.250 0.250 0.250
Au1 Au 0.250 0.250 0.750
```

Computed properties:
electronic total energy = -64.8 eV for the cell shown
energy relative to the elements = -30 kJ/mol of atoms
DOS(E_F) = 7.002 states/eV/cell

---

Density functional theory data (GGA-PBE) for a relaxed LiPuPbAu crystal.

```
data_LiPuPbAu
_cell_length_a 7.207
_cell_length_b 7.207
_cell_length_c 7.207
_cell_angle_alpha 90.00
_cell_angle_beta 90.00
_cell_angle_gamma 90.00
_symmetry_space_group_name_H-M 'F -4 3 m'
_symmetry_Int_Tables_number 216
_symmetry_space_group_name_Hall 'F -4 2 3'
loop_
_atom_site_label
_atom_site_type_symbol
_atom_site_fract_x
_atom_site_fract_y
_atom_site_fract_z
Li1 Li 0.000 0.000 0.000
Pu1 Pu 0.000 0.000 0.500
Pb1 Pb 0.250 0.250 0.250
Au1 Au 0.250 0.250 0.750
```

Computed properties:
electronic total energy = -97.0 eV for the cell shown
energy relative to the elements = -24 kJ/mol of atoms
DOS(E_F) = 51.555 states/eV/cell

---

Density functional theory data (GGA-PBE) for a relaxed LiPuPbAu crystal.

```
data_LiPuPbAu
_cell_length_a 3.369
_cell_length_b 3.369
_cell_length_c 7.768
_cell_angle_alpha 90.00
_cell_angle_beta 90.00
_cell_angle_gamma 90.00
_symmetry_space_group_name_H-M 'P 4 m m'
_symmetry_Int_Tables_number 99
loop_
_symmetry_equiv_pos_as_xyz
'x,y,z'
'-y,x,z'
'-x,-y,z'
'y,-x,z'
'-x,y,z'
'y,x,z'
'x,-y,z'
'-y,-x,z'
loop_
_atom_site_label
_atom_site_type_symbol
_atom_site_fract_x
_atom_site_fract_y
_atom_site_fract_z
Li1 Li 0.000 0.000 0.000
Pu1 Pu 0.000 0.000 0.557
Pb1 Pb 0.500 0.500 0.241
Au1 Au 0.500 0.500 0.823
```

Computed properties:
electronic total energy = -24.6 eV for the cell shown
energy relative to the elements = -33 kJ/mol of atoms
DOS(E_F) = 8.583 states/eV/cell

---

Density functional theory data (GGA-PBE) for a relaxed Li4Sb3Pb2Au crystal.

```
data_Li4Sb3Pb2Au
_cell_length_a 4.279
_cell_length_b 4.279
_cell_length_c 12.694
_cell_angle_alpha 90.00
_cell_angle_beta 90.00
_cell_angle_gamma 90.00
_symmetry_space_group_name_H-M 'P -4 m 2'
_symmetry_Int_Tables_number 115
loop_
_symmetry_equiv_pos_as_xyz
'x,y,z'
'y,-x,-z'
'-x,-y,z'
'-y,x,-z'
'-x,y,z'
'-y,-x,-z'
'x,-y,z'
'y,x,-z'
loop_
_atom_site_label
_atom_site_type_symbol
_atom_site_fract_x
_atom_site_fract_y
_atom_site_fract_z
Li1 Li 0.000 0.000 0.000
Li2 Li 0.000 0.500 0.361
Li3 Li 0.500 0.500 0.000
Sb1 Sb 0.000 0.000 0.500
Sb2 Sb 0.000 0.500 0.147
Pb1 Pb 0.000 0.500 0.751
Au1 Au 0.500 0.500 0.500
```

Computed properties:
electronic total energy = -33.8 eV for the cell shown
DOS(E_F) = 3.265 states/eV/cell

---

Density functional theory data (GGA-PBE) for a relaxed Li2ScPbAu crystal.

```
data_Li2ScPbAu
_cell_length_a 4.834
_cell_length_b 4.834
_cell_length_c 5.366
_cell_angle_alpha 90.00
_cell_angle_beta 90.00
_cell_angle_gamma 90.00
_symmetry_space_group_name_H-M 'P 4/m m m'
_symmetry_Int_Tables_number 123
_symmetry_space_group_name_Hall '-P 4 2'
loop_
_atom_site_label
_atom_site_type_symbol
_atom_site_fract_x
_atom_site_fract_y
_atom_site_fract_z
Li1 Li 0.000 0.500 0.000
Sc1 Sc 0.000 0.000 0.500
Pb1 Pb 0.500 0.500 0.000
Au1 Au 0.500 0.500 0.500
```

Computed properties:
electronic total energy = -15.6 eV for the cell shown
energy relative to the elements = 30 kJ/mol of atoms
DOS(E_F) = 3.221 states/eV/cell